First-principles (PBE) data for Th3Ga6Cu5 after structural relaxation, as listed in Alexandria via LeMat-Bulk.

extended XYZ file:
```
28
Lattice="4.3896 0.0000 0.0000 0.0000 8.8167 0.0000 0.0000 0.0000 13.3093" Properties=species:S:1:pos:R:3 pbc="T T T"
Ga 2.1948 3.4188 2.0732
Ga 2.1948 5.0350 0.0000
Ga 0.0000 0.5221 6.6546
Ga 2.1948 3.4188 11.2361
Ga 2.1948 0.2752 4.7047
Ga 0.0000 8.5415 11.3593
Ga 2.1948 0.2752 8.6046
Ga 2.1948 8.2946 0.0000
Ga 0.0000 3.7817 6.6546
Ga 0.0000 5.3979 4.5814
Ga 0.0000 8.5415 1.9499
Ga 0.0000 5.3979 8.7278
Cu 2.1948 4.1456 8.5061
Cu 2.1948 2.1949 6.6546
Cu 0.0000 6.6218 0.0000
Cu 2.1948 0.9553 2.0293
Cu 2.1948 0.9553 11.2800
Cu 2.1948 4.1456 4.8032
Cu 0.0000 7.8614 8.6839
Cu 0.0000 7.8614 4.6254
Cu 0.0000 4.6711 11.4579
Cu 0.0000 4.6711 1.8514
Th 0.0000 2.2660 3.8904
Th 2.1948 6.5507 10.5450
Th 2.1948 6.5507 2.7643
Th 2.1948 6.5281 6.6546
Th 0.0000 2.2660 9.4189
Th 0.0000 2.2886 0.0000
```

Output
Crystal system   orthorhombic
ΔH_f (0 K)   -0.39 eV/atom
M_tot   0.0 μB per formula unit